No. 1
# CsMo3Br3Cl4 | OQMD via LeMat-Bulk | PBE | optimized geometry
# DFT total energy: -57.05 eV/f.u.
# crystal system: trigonal
data_CsMo3Br3Cl4
_chemical_formula_sum 'Cs4 Mo12 Br12 Cl16'
_cell_length_a 10.1329
_cell_length_b 10.1329
_cell_length_c 15.1946
_cell_angle_alpha 90.00
_cell_angle_beta 90.00
_cell_angle_gamma 120.00
_space_group_name_H-M_alt 'P 3 1 c'
_space_group_IT_number 159
_space_group_name_Hall 'P 3 -2c'
loop_
_atom_site_label
_atom_site_type_symbol
_atom_site_fract_x
_atom_site_fract_y
_atom_site_fract_z
_atom_site_occupancy
Cs1 Cs 0.0000 0.0000 0.0000 1
Cs2 Cs 0.3333 0.6667 0.2267 1
Mo1 Mo 0.1794 0.5211 0.6575 1
Mo2 Mo 0.1858 0.6717 0.7981 1
Br1 Br 0.0353 0.7008 0.3886 1
Br2 Br 0.0492 0.3654 0.0666 1
Cl1 Cl 0.0461 0.3866 0.7964 1
Cl2 Cl 0.0586 0.6843 0.6593 1
Cl3 Cl 0.3333 0.6667 0.5280 1
Cl4 Cl 0.3333 0.6667 0.9268 1

No. 2
# Cs2OsBr4Cl2 | OQMD via LeMat-Bulk | PBE | optimized geometry
# DFT total energy: -32.52 eV/f.u.
# crystal system: tetragonal
data_Cs2OsBr4Cl2
_chemical_formula_sum 'Cs4 Os2 Br8 Cl4'
_cell_length_a 7.738
_cell_length_b 7.738
_cell_length_c 10.605
_cell_angle_alpha 90.00
_cell_angle_beta 90.00
_cell_angle_gamma 90.00
_space_group_name_H-M_alt 'I 4/m m m'
_space_group_IT_number 139
_space_group_name_Hall '-I 4 2'
loop_
_atom_site_label
_atom_site_type_symbol
_atom_site_fract_x
_atom_site_fract_y
_atom_site_fract_z
_atom_site_occupancy
Cs1 Cs 0.000 0.500 0.250 1
Os1 Os 0.000 0.000 0.000 1
Br1 Br 0.231 0.231 0.000 1
Cl1 Cl 0.000 0.000 0.221 1

No. 3
# Cs2PdBr2Cl2 | OQMD via LeMat-Bulk | PBE | optimized geometry
# DFT total energy: -23.09 eV/f.u.
# crystal system: orthorhombic
data_Cs2PdBr2Cl2
_chemical_formula_sum 'Cs2 Pd1 Br2 Cl2'
_cell_length_a 4.801
_cell_length_b 7.694
_cell_length_c 7.698
_cell_angle_alpha 90.00
_cell_angle_beta 90.00
_cell_angle_gamma 90.00
_space_group_name_H-M_alt 'P m m 2'
_space_group_IT_number 25
_space_group_name_Hall 'P 2 -2'
loop_
_atom_site_label
_atom_site_type_symbol
_atom_site_fract_x
_atom_site_fract_y
_atom_site_fract_z
_atom_site_occupancy
Cs1 Cs 0.000 0.000 0.000 1
Cs2 Cs 0.000 0.500 0.459 1
Pd1 Pd 0.500 0.500 0.977 1
Br1 Br 0.500 0.273 0.751 1
Cl1 Cl 0.500 0.284 0.193 1

No. 4
# Cs2PdBr2Cl2 | OQMD via LeMat-Bulk | PBE | optimized geometry
# DFT total energy: -23.09 eV/f.u.
# crystal system: orthorhombic
data_Cs2PdBr2Cl2
_chemical_formula_sum 'Cs4 Pd2 Br4 Cl4'
_cell_length_a 10.324
_cell_length_b 11.264
_cell_length_c 4.837
_cell_angle_alpha 90.00
_cell_angle_beta 90.00
_cell_angle_gamma 90.00
_space_group_name_H-M_alt 'C m m m'
_space_group_IT_number 65
_space_group_name_Hall '-C 2 2'
loop_
_atom_site_label
_atom_site_type_symbol
_atom_site_fract_x
_atom_site_fract_y
_atom_site_fract_z
_atom_site_occupancy
Cs1 Cs 0.250 0.250 0.000 1
Pd1 Pd 0.000 0.000 0.500 1
Br1 Br 0.240 0.000 0.500 1
Cl1 Cl 0.000 0.208 0.500 1